Record 1
This record from Alexandria via LeMat-Bulk describes crystalline Cd2Sn2I at its relaxed geometry. The functional is PBE.

Total DFT energy (no corrections) = -22.09 eV for the cell shown
SG = No. 127
Density of states at the Fermi level = 0.58 states/eV per atom
Distance to the lowest polymorph of the same formula = 35 meV/atom
Uncorrected formation energy = 0.068 eV per atom

a b c (Å): 8.9380 8.9380 3.6506
angles (deg): 90.00 90.00 90.00
Fractional positions:
Cd1 0.1746 0.3254 0.0000
Cd2 0.3254 0.8254 0.0000
Cd3 0.6746 0.1746 0.0000
Cd4 0.8254 0.6746 0.0000
Sn1 0.1210 0.6210 0.5000
Sn2 0.3790 0.1210 0.5000
Sn3 0.6210 0.8790 0.5000
Sn4 0.8790 0.3790 0.5000
I1 0.0000 0.0000 0.0000
I2 0.5000 0.5000 0.0000

Record 2
This record from Alexandria via LeMat-Bulk describes crystalline La5Nd3Sm at its relaxed geometry. The functional is PBE.

Total DFT energy (no corrections) = -83.23 eV for the cell shown
SG = No. 15
Density of states at the Fermi level = 1.50 states/eV per atom
Distance to the lowest polymorph of the same formula = 0 meV/atom
Formation energy = 197 kJ/mol of formula units

a b c (Å): 10.9017 10.9017 11.8454
angles (deg): 120.94 120.94 34.31
Fractional positions:
La1 0.0463 0.6713 0.3420
La2 0.0789 0.9211 0.7500
La3 0.1264 0.5175 0.6628
La4 0.3287 0.9537 0.1580
La5 0.4825 0.8736 0.8372
La6 0.5175 0.1264 0.1628
La7 0.6713 0.0463 0.8420
La8 0.8736 0.4825 0.3372
La9 0.9211 0.0789 0.2500
La10 0.9537 0.3287 0.6580
Nd1 0.0846 0.5638 0.9771
Nd2 0.4362 0.9154 0.5229
Nd3 0.5000 0.5000 0.0000
Nd4 0.5000 0.5000 0.5000
Nd5 0.5638 0.0846 0.4771
Nd6 0.9154 0.4362 0.0229
Sm1 0.3996 0.6004 0.2500
Sm2 0.6004 0.3996 0.7500